1.
This record from Alexandria describes an optimized crystal structure of K2TeBr. The functional is PBE-GGA.

Calculated values
M_tot	0.000	μB per formula unit
offset from the most stable computed form	46	meV per atom
ΔE_f (raw)	-1.133	eV per atom
symmetry	Imm2, No. 44

a = 9.620 Å, b = 9.620 Å, c = 9.620 Å
α = 157.39°, β = 153.36°, γ = 35.22°
Atoms (fractional coordinates):
Br1 0.204 0.704 0.500
K1 0.061 0.061 0.000
K2 0.790 0.290 0.500
Te1 0.445 0.445 0.000

***

2.
This record from Alexandria describes an optimized crystal structure of TbCeDyTm2. The functional is PBE-GGA.

Calculated values
M_tot	1.202	μB per formula unit
DFT formation energy	0.32	eV per atom
symmetry	Pmmm, No. 47

a = 5.434 Å, b = 8.573 Å, c = 7.069 Å
α = 90.01°, β = 90.00°, γ = 90.00°
Atoms (fractional coordinates):
Tb1 0.000 0.500 0.750
Tb2 0.000 0.500 0.250
Ce1 0.000 0.000 0.000
Ce2 0.000 0.000 0.500
Dy1 0.500 0.000 0.250
Dy2 0.500 0.000 0.750
Tm1 0.500 0.681 0.000
Tm2 0.500 0.319 0.500
Tm3 0.500 0.681 0.500
Tm4 0.500 0.319 0.000

***

3.
This record from Alexandria describes an optimized crystal structure of PmDy3Tm2. The functional is PBE-GGA.

Calculated values
M_tot	0.000	μB per formula unit
DFT formation energy	0.01	eV per atom
offset from the most stable computed form	13	meV per atom
symmetry	C2/m, No. 12

a = 3.621 Å, b = 11.241 Å, c = 11.087 Å
α = 120.44°, β = 99.40°, γ = 90.00°
Atoms (fractional coordinates):
Pm1 0.389 0.013 0.779
Pm2 0.611 0.987 0.221
Dy1 0.278 0.155 0.556
Dy2 0.055 0.678 0.110
Dy3 0.388 0.514 0.775
Dy4 0.722 0.845 0.444
Dy5 0.612 0.486 0.225
Dy6 0.945 0.322 0.890
Tm1 0.277 0.650 0.555
Tm2 0.723 0.350 0.445
Tm3 0.943 0.816 0.886
Tm4 0.057 0.184 0.114

***

4.
This record from Alexandria describes an optimized crystal structure of NaAlSi3O8. The functional is PBE-GGA.

Calculated values
M_tot	0.000	μB per formula unit
offset from the most stable computed form	0	meV per atom
ΔE_f (raw)	-2.784	eV per atom
symmetry	Pc, No. 7

a = 4.880 Å, b = 8.376 Å, c = 11.953 Å
α = 47.32°, β = 90.00°, γ = 90.00°
Atoms (fractional coordinates):
Na1 0.761 0.518 0.990
Na2 0.239 0.518 0.490
Al1 0.631 0.647 0.659
Al2 0.369 0.647 0.159
Si1 0.893 0.976 0.338
Si2 0.134 0.347 0.839
Si3 0.404 0.033 0.156
Si4 0.866 0.347 0.339
Si5 0.596 0.033 0.656
Si6 0.107 0.976 0.838
O1 0.348 0.486 0.698
O2 0.178 0.925 0.294
O3 0.870 0.489 0.810
O4 0.678 0.107 0.193
O5 0.130 0.489 0.310
O6 0.322 0.107 0.693
O7 0.652 0.486 0.198
O8 0.822 0.925 0.794
O9 0.520 0.854 0.649
O10 0.968 0.138 0.364
O11 0.032 0.138 0.864
O12 0.480 0.854 0.149
O13 0.772 0.744 0.487
O14 0.281 0.261 0.997
O15 0.719 0.261 0.497
O16 0.228 0.744 0.987